Bi3TeO after structural relaxation, computed with GGA-PBE.

a = 5.062 Å, b = 5.062 Å, c = 5.062 Å
α = 90.00°, β = 90.00°, γ = 90.00°
Element x y z (fractional)
Te: 0.500 0.500 0.500
Bi: 0.000 0.500 0.000
Bi: 0.000 0.000 0.500
Bi: 0.500 0.000 0.000
O: 0.000 0.000 0.000

Summary:
- electronic total energy (eV per atom) = -3.980
- energy above the most stable polymorph in this dataset (meV per atom) = 0.0
- D(E_F) (states/eV/f.u.) = 4.73
- formation energy from raw total energies (eV/atom) = -0.032
- symmetry = No. 221